# 1
# HfSiGeRh2, optimized geometry, DFT PBE
# density of states at the Fermi level = 4.8 states/eV per cell
# ΔE_f (raw) = 0.535 eV per atom
data_HfSiGeRh2
_cell_length_a 4.463
_cell_length_b 4.463
_cell_length_c 5.036
_cell_angle_alpha 90.00
_cell_angle_beta 90.00
_cell_angle_gamma 90.00
_symmetry_space_group_name_H-M 'P 4/m m m'
_symmetry_Int_Tables_number 123
_symmetry_space_group_name_Hall '-P 4 2'
loop_
_atom_site_label
_atom_site_type_symbol
_atom_site_fract_x
_atom_site_fract_y
_atom_site_fract_z
Hf1 Hf 0.000 0.000 0.000
Si1 Si 0.500 0.500 0.000
Ge1 Ge 0.000 0.000 0.500
Rh1 Rh 0.000 0.500 0.500

# 2
# Sm2HfGe3Rh4, optimized geometry, DFT PBE
# density of states at the Fermi level = 4.7 states/eV per cell
# calculated formation energy = -903 meV/atom
data_Sm2HfGe3Rh4
_cell_length_a 4.150
_cell_length_b 4.150
_cell_length_c 10.961
_cell_angle_alpha 90.00
_cell_angle_beta 90.00
_cell_angle_gamma 90.00
_symmetry_space_group_name_H-M 'P -4 m 2'
_symmetry_Int_Tables_number 115
_symmetry_space_group_name_Hall 'P -4 -2'
loop_
_atom_site_label
_atom_site_type_symbol
_atom_site_fract_x
_atom_site_fract_y
_atom_site_fract_z
Sm1 Sm 0.000 0.500 0.234
Hf1 Hf 0.000 0.000 0.500
Ge1 Ge 0.000 0.500 0.875
Ge2 Ge 0.500 0.500 0.500
Rh1 Rh 0.000 0.000 0.000
Rh2 Rh 0.000 0.500 0.648
Rh3 Rh 0.500 0.500 0.000

Number 1: calculated density 8.03 g/cm³, total magnetization 0.0 μB per formula unit, volume 20.1 Å³ per atom. Number 2: calculated density 9.76 g/cm³, total magnetization 0.0 μB per formula unit, volume 18.9 Å³ per atom.